(1)
# Pr6Er2Tm3 (GGA-PBE, optimized geometry)
# - Magnetization: 0.00 Bohr magnetons per cell
# - ΔH_f (0 K): 0.131 eV per atom
# - DOS at the Fermi energy: 1.418 states/eV per atom
# - Offset from the most stable computed form: 0.000 eV per formula unit
data_Pr6Er2Tm3
_cell_length_a 6.6722
_cell_length_b 6.6882
_cell_length_c 9.5330
_cell_angle_alpha 92.64
_cell_angle_beta 93.53
_cell_angle_gamma 117.97
_space_group_name_H-M_alt 'P -1'
_space_group_IT_number 2
_space_group_name_Hall '-P 1'
loop_
_atom_site_label
_atom_site_fract_x
_atom_site_fract_y
_atom_site_fract_z
_atom_site_occupancy
Pr1 0.0473 0.4949 0.1711 1
Pr2 0.2958 0.7066 0.5011 1
Pr3 0.3767 0.3720 0.7840 1
Er1 0.4972 0.0534 0.1683 1
Tm1 0.0000 0.0000 0.0000 1
Tm2 0.1328 0.1322 0.3657 1

(2)
# Pr3Er2Tm8 (GGA-PBE, optimized geometry)
# - Magnetization: 0.00 Bohr magnetons per cell
# - ΔH_f (0 K): 0.259 eV per atom
# - DOS at the Fermi energy: 1.641 states/eV per atom
data_Pr3Er2Tm8
_cell_length_a 19.8972
_cell_length_b 7.7084
_cell_length_c 5.5890
_cell_angle_alpha 90.00
_cell_angle_beta 90.06
_cell_angle_gamma 90.00
_space_group_name_H-M_alt 'C 1 2/m 1'
_space_group_IT_number 12
_space_group_name_Hall '-C 2y'
loop_
_atom_site_label
_atom_site_fract_x
_atom_site_fract_y
_atom_site_fract_z
_atom_site_occupancy
Pr1 0.0000 0.0000 0.0000 1
Pr2 0.0000 0.2942 0.5000 1
Er1 0.2406 0.0000 0.9985 1
Tm1 0.1109 0.2920 0.0005 1
Tm2 0.1360 0.0000 0.4995 1
Tm3 0.1726 0.5000 0.5013 1

> Among the records above, which one has the highest DOS at the Fermi energy?

Pr3Er2Tm8